The following is a PBE+U calculation of crystalline PaCoNiO4 at its relaxed geometry, from Alexandria via LeMat-Bulk.

Results
**E_tot**: -101.2 eV per cell
**Total moment**: 0.7136 μB per atom

a b c (Å): 6.329 6.329 6.329
angles (deg): 120.78 120.27 89.10
Element x y z (fractional)
Pa 0.377 0.127 0.250
Pa 0.623 0.873 0.750
Co 0.000 0.500 0.500
Co 0.500 0.500 0.000
Ni 0.000 0.000 0.500
Ni 0.000 0.500 0.000
O 0.212 0.737 0.475
O 0.234 0.253 0.519
O 0.234 0.715 0.981
O 0.239 0.263 0.975
O 0.761 0.737 0.025
O 0.766 0.285 0.019
O 0.766 0.747 0.481
O 0.788 0.263 0.525